No. 1
A relaxed structure of H2Pb4CCl6O4. Source: the Alexandria database, functional PBEsol.

a = 4.1637 Å, b = 9.1161 Å, c = 16.3820 Å
α = 90.00°, β = 91.89°, γ = 90.00°
Fractional coordinates of all 34 atoms:
Cl  0.2299  0.4676  0.9134
Cl  0.7097  0.2500  0.7817
O  0.2976  0.3741  0.2198
C  0.5836  0.7500  0.7555
Cl  0.7630  0.9509  0.5855
Cl  0.2370  0.4509  0.4145
O  0.2441  0.2500  0.0673
H  0.2413  0.1653  0.1056
Pb  0.2492  0.7500  0.5152
H  0.7587  0.6653  0.8944
Cl  0.7701  0.9676  0.0866
Cl  0.2581  0.2500  0.6050
Pb  0.7508  0.2500  0.4848
O  0.2976  0.1259  0.2198
O  0.7024  0.6259  0.7802
O  0.7024  0.8741  0.7802
Pb  0.1871  0.4850  0.7328
Cl  0.7701  0.5324  0.0866
O  0.6787  0.2500  0.2901
H  0.2413  0.3347  0.1056
O  0.7559  0.7500  0.9327
Cl  0.2903  0.7500  0.2183
Cl  0.2299  0.0324  0.9134
Pb  0.8129  0.5150  0.2672
Cl  0.7419  0.7500  0.3950
Pb  0.2600  0.7500  0.0341
Cl  0.2370  0.0491  0.4145
O  0.3213  0.7500  0.7099
H  0.7587  0.8347  0.8944
C  0.4164  0.2500  0.2445
Pb  0.7400  0.2500  0.9659
Pb  0.8129  0.9850  0.2672
Pb  0.1871  0.0150  0.7328
Cl  0.7630  0.5491  0.5855

Properties
- N(E_F): 0.0000 states/eV/atom
- V: 621.5 Å³ per cell
- VASP energy: -171.174 eV per cell

No. 2
A relaxed structure of H16Ru3C6Cl6O14. Source: the Alexandria database, functional PBEsol.

a = 6.5206 Å, b = 6.9951 Å, c = 15.0876 Å
α = 93.39°, β = 98.13°, γ = 114.67°
Last column: magnetic moment on the atom in μB.
Fractional coordinates of all 45 atoms:
H  0.5954  0.3068  0.3528  0.00
H  0.2559  0.4187  0.5395  0.00
H  0.1312  0.5796  0.6333  0.00
H  0.2520  0.7902  0.5311  0.00
O  0.7137  0.8071  0.9886  0.00
H  0.2383  0.8187  0.4259  0.00
H  0.4046  0.6932  0.6472  0.00
O  0.2884  0.8808  0.8522  0.00
O  0.2863  0.1929  0.0114  0.00
O  0.7495  0.6982  0.5051  0.01
Cl  0.2003  0.5438  0.3300  0.00
Cl  0.7116  0.8808  0.7351  0.00
C  0.0925  0.7788  0.8378  0.00
Ru  0.7733  0.6116  0.8159  -0.02
Cl  0.2884  0.1192  0.2649  0.00
O  0.7116  0.1192  0.1478  0.00
Cl  0.6343  0.5955  0.2164  0.00
O  0.8358  0.2739  0.9175  0.00
Ru  0.0000  0.0000  0.5000  0.23
H  0.7690  0.8394  0.3281  0.00
O  0.2388  0.8864  0.4852  0.01
Ru  0.2267  0.3884  0.1841  -0.02
O  0.2621  0.6224  0.6002  0.00
O  0.7612  0.1136  0.5148  0.01
C  0.9075  0.2212  0.1622  0.00
C  0.1896  0.6029  0.1250  -0.01
H  0.7441  0.5813  0.4605  0.00
H  0.8688  0.4204  0.3667  0.00
C  0.7371  0.7362  0.9218  0.00
Cl  0.3657  0.4045  0.7836  0.00
Cl  0.7997  0.4562  0.6700  0.00
H  0.2412  0.3547  0.4355  0.00
H  0.7480  0.2098  0.4689  0.00
C  0.2629  0.2638  0.0782  0.00
O  0.1143  0.0219  0.6383  0.00
O  0.1642  0.7261  0.0825  0.00
H  0.7588  0.6453  0.5645  0.00
H  0.9839  0.9798  0.6722  0.00
C  0.8104  0.3971  0.8750  -0.01
O  0.2505  0.3018  0.4949  0.01
H  0.0161  0.0202  0.3278  0.00
O  0.8857  0.9781  0.3617  0.00
O  0.7379  0.3776  0.3998  0.00
H  0.7617  0.1813  0.5741  0.00
H  0.2310  0.1606  0.6719  0.00

Properties
- N(E_F): 0.1599 states/eV/atom
- V: 613.7 Å³ per cell
- VASP energy: -264.726 eV per cell

No. 3
A relaxed structure of H2RuC3Cl2O4. Source: the Alexandria database, functional PBEsol.

a = 6.4158 Å, b = 10.3376 Å, c = 12.1234 Å
α = 90.00°, β = 98.11°, γ = 90.00°
Fractional coordinates of all 48 atoms:
O  0.7329  0.5599  0.5260
H  0.6440  0.4323  0.9212
Ru  0.1431  0.2108  0.6064
O  0.0399  0.6108  0.2353
Cl  0.8066  0.2124  0.4906
Cl  0.9620  0.9716  0.2920
Cl  0.4620  0.5284  0.7920
Cl  0.6934  0.7124  0.0094
C  0.4650  0.8223  0.7948
C  0.9061  0.2940  0.1966
C  0.0939  0.7060  0.8034
O  0.2671  0.4401  0.4740
C  0.5350  0.1777  0.2052
O  0.7564  0.9236  0.5073
O  0.5399  0.8892  0.7353
H  0.7499  0.0155  0.4798
C  0.5939  0.7940  0.3034
Ru  0.8569  0.7892  0.3936
O  0.4338  0.7963  0.2467
O  0.4601  0.1108  0.2647
Ru  0.3569  0.7108  0.8936
C  0.0350  0.3223  0.7052
C  0.9650  0.6777  0.2948
O  0.7436  0.4236  0.9927
C  0.7777  0.6481  0.4763
O  0.0662  0.2963  0.2533
H  0.2499  0.4845  0.9798
C  0.2223  0.3519  0.5237
C  0.2777  0.8519  0.9763
Cl  0.3066  0.2876  0.9906
H  0.7501  0.5155  0.0202
O  0.2436  0.0764  0.4927
H  0.3560  0.5677  0.0788
O  0.7671  0.0599  0.9740
O  0.5662  0.2037  0.7533
Cl  0.1934  0.7876  0.5094
Cl  0.5380  0.4716  0.2080
O  0.2564  0.5764  0.0073
H  0.8560  0.9323  0.5788
Ru  0.6431  0.2892  0.1064
O  0.9338  0.7037  0.7467
O  0.2329  0.9401  0.0260
H  0.1440  0.0677  0.4212
C  0.7223  0.1481  0.0237
Cl  0.0380  0.0284  0.7080
C  0.4061  0.2060  0.6966
O  0.9601  0.3892  0.7647
H  0.2501  0.9845  0.5202

Properties
- N(E_F): 0.0000 states/eV/atom
- V: 796.0 Å³ per cell
- VASP energy: -320.824 eV per cell

No. 4
A relaxed structure of Sn2H12C4Cl2O. Source: the Alexandria database, functional PBEsol.

a = 7.2849 Å, b = 8.7277 Å, c = 18.2235 Å
α = 90.00°, β = 90.00°, γ = 107.75°
Fractional coordinates of all 84 atoms:
H  0.2540  0.1679  0.7311
C  0.7978  0.8062  0.5144
Sn  0.4779  0.1699  0.4640
Sn  0.5800  0.1568  0.6669
C  0.7978  0.3062  0.9856
C  0.3109  0.5670  0.7793
Cl  0.5432  0.4051  0.6104
H  0.1639  0.6401  0.5095
H  0.0950  0.5958  0.0430
H  0.0905  0.3082  0.2391
H  0.9536  0.7084  0.8584
O  0.5388  0.5644  0.9376
H  0.0950  0.0958  0.4570
H  0.8252  0.2702  0.4004
Sn  0.4200  0.3432  0.1669
H  0.7460  0.8321  0.2689
H  0.6646  0.4886  0.2724
H  0.9050  0.9042  0.5430
H  0.9095  0.6918  0.7609
C  0.2460  0.1698  0.9392
H  0.0464  0.2916  0.1416
H  0.2142  0.9770  0.6845
Cl  0.4568  0.5949  0.3896
H  0.0790  0.1230  0.1921
H  0.3354  0.0114  0.7724
H  0.2016  0.3110  0.4636
H  0.3354  0.5114  0.7276
H  0.7984  0.6890  0.5364
H  0.2662  0.0614  0.9142
H  0.1748  0.2298  0.9004
C  0.3109  0.0670  0.7207
C  0.2460  0.6698  0.5608
C  0.2022  0.6938  0.0144
H  0.9050  0.4042  0.9570
Sn  0.5221  0.8301  0.5360
Cl  0.3810  0.1451  0.3203
H  0.8361  0.8599  0.0095
C  0.8796  0.2454  0.6877
C  0.2022  0.1938  0.4856
C  0.1204  0.7546  0.3123
C  0.7540  0.3302  0.4392
C  0.7540  0.8302  0.0608
H  0.9210  0.3770  0.6921
H  0.7858  0.5230  0.1845
O  0.5388  0.0644  0.5624
H  0.2540  0.6679  0.7689
Cl  0.3810  0.6451  0.1797
H  0.1748  0.7298  0.5996
C  0.8796  0.7454  0.8123
H  0.7984  0.1890  0.9636
H  0.0790  0.6230  0.3079
C  0.1204  0.2546  0.1877
H  0.0464  0.7916  0.3584
C  0.6891  0.9330  0.2793
H  0.2662  0.5614  0.5858
O  0.4612  0.4356  0.0624
H  0.8213  0.3110  0.0452
H  0.7460  0.3321  0.2311
O  0.4612  0.9356  0.4376
H  0.6646  0.9886  0.2276
Cl  0.6190  0.8549  0.6797
H  0.9536  0.2084  0.6416
H  0.7858  0.0230  0.3155
Sn  0.5800  0.6568  0.8331
H  0.2142  0.4770  0.8155
H  0.7338  0.4386  0.4142
H  0.1639  0.1401  0.9905
Sn  0.4200  0.8432  0.3331
H  0.2016  0.8110  0.0364
H  0.1787  0.6890  0.9548
Sn  0.5221  0.3301  0.9640
H  0.0905  0.8082  0.2609
H  0.8361  0.3599  0.4905
H  0.7338  0.9386  0.0858
Cl  0.4568  0.0949  0.1104
H  0.8213  0.8110  0.4548
H  0.8252  0.7702  0.0996
C  0.6891  0.4330  0.2207
Cl  0.5432  0.9051  0.8896
H  0.1787  0.1890  0.5452
Sn  0.4779  0.6699  0.0360
H  0.9095  0.1918  0.7391
H  0.9210  0.8770  0.8079
Cl  0.6190  0.3549  0.8203

Properties
- N(E_F): 0.0000 states/eV/atom
- V: 1103.5 Å³ per cell
- VASP energy: -412.355 eV per cell

No. 5
A relaxed structure of SiP4H28C10Cl4. Source: the Alexandria database, functional PBEsol.

a = 6.8450 Å, b = 9.0300 Å, c = 8.6676 Å
α = 93.52°, β = 88.66°, γ = 95.16°
Fractional coordinates of all 47 atoms:
C  0.1971  0.8507  0.0627
Si  0.0000  0.5000  0.5000
C  0.4361  0.2645  0.9631
Cl  0.7742  0.5160  0.6890
H  0.8454  0.2528  0.8786
H  0.4394  0.8908  0.5762
C  0.7099  0.3378  0.1967
P  0.8229  0.2943  0.3735
H  0.6859  0.1792  0.5989
H  0.0672  0.8859  0.0071
H  0.1829  0.5919  0.8703
H  0.4863  0.7124  0.4850
H  0.9328  0.1141  0.9929
Cl  0.2258  0.4840  0.3110
H  0.9608  0.8898  0.5716
C  0.5639  0.7355  0.0369
Cl  0.8533  0.6587  0.3666
H  0.8859  0.0510  0.2651
H  0.7512  0.0604  0.8510
H  0.5138  0.3558  0.9007
H  0.1141  0.9490  0.7349
H  0.3202  0.3093  0.0380
H  0.0970  0.1850  0.2452
H  0.2488  0.9396  0.1490
H  0.5606  0.1092  0.4238
H  0.8171  0.4081  0.1297
C  0.9763  0.1451  0.3223
H  0.0392  0.1102  0.4284
C  0.8029  0.1493  0.9373
P  0.1771  0.7057  0.6265
H  0.3668  0.1817  0.8778
Cl  0.1467  0.3413  0.6334
C  0.3737  0.7907  0.5107
H  0.3141  0.8208  0.4011
H  0.5137  0.2876  0.5150
H  0.4862  0.6442  0.0993
C  0.6263  0.2093  0.4893
C  0.2901  0.6622  0.8033
H  0.1546  0.7472  0.1214
H  0.6332  0.8183  0.1222
H  0.5895  0.4066  0.2338
P  0.6030  0.1713  0.0795
H  0.6798  0.6907  0.9620
P  0.3970  0.8287  0.9205
H  0.4105  0.5934  0.7662
H  0.9030  0.8150  0.7548
C  0.0237  0.8549  0.6777

Properties
- N(E_F): 0.0000 states/eV/atom
- V: 532.5 Å³ per cell
- VASP energy: -238.624 eV per cell

No. 6
A relaxed structure of P4H36WC12Cl2. Source: the Alexandria database, functional PBEsol.

a = 9.0995 Å, b = 9.0995 Å, c = 9.0995 Å
α = 83.89°, β = 63.47°, γ = 116.53°
Last column: magnetic moment on the atom in μB.
Fractional coordinates of all 55 atoms:
C  0.4546  0.7126  0.4906  0.00
H  0.3656  0.5961  0.6147  0.00
H  0.4988  0.9502  0.1809  0.00
H  0.2108  0.9803  0.3853  0.00
H  0.8214  0.8541  0.7571  0.00
H  0.5012  0.3203  0.5485  0.00
H  0.6550  0.6203  0.8197  0.00
H  0.0000  0.7840  0.8984  0.00
C  0.4733  0.3207  0.6793  0.01
H  0.5600  0.0346  0.6203  0.00
C  0.4546  0.5094  0.2874  0.00
C  0.7968  0.7420  0.7126  0.00
H  0.3450  0.9654  0.4746  0.00
C  0.0000  0.6793  0.8474  0.01
H  0.4988  0.8191  0.0498  0.00
H  0.3656  0.3853  0.4039  0.00
H  0.1786  0.0327  0.5785  0.00
H  0.1786  0.4215  0.9673  0.00
H  0.5012  0.4515  0.6797  0.00
P  0.6432  0.2888  0.7112  -0.01
H  0.8689  0.5485  0.9502  0.00
H  0.6824  0.8984  0.1016  0.00
H  0.6344  0.2305  0.9803  0.00
C  0.5454  0.0547  0.7420  0.00
H  0.6344  0.0197  0.7695  0.00
H  0.1311  0.1809  0.3203  0.00
H  0.4400  0.8197  0.5254  0.00
H  0.4400  0.4746  0.1803  0.00
H  0.0000  0.1016  0.2160  0.00
H  0.3888  0.1459  0.0327  0.00
C  0.7968  0.2874  0.2580  0.00
Cl  0.0000  0.6999  0.3001  0.08
H  0.5600  0.3797  0.9654  0.00
C  0.2032  0.9453  0.5094  0.00
Cl  0.0000  0.3001  0.6999  0.08
H  0.6112  0.7571  0.4215  0.00
H  0.1311  0.6797  0.8191  0.00
C  0.5267  0.8474  0.1526  0.01
H  0.8689  0.0498  0.4515  0.00
P  0.3568  0.6456  0.3544  -0.01
H  0.3450  0.5254  0.0346  0.00
H  0.3888  0.9673  0.8541  0.00
H  0.8214  0.2429  0.1459  0.00
H  0.3176  0.2160  0.7840  0.00
H  0.6112  0.5785  0.2429  0.00
P  0.0000  0.3544  0.2888  -0.01
C  0.5454  0.2580  0.9453  0.00
H  0.7892  0.4039  0.2305  0.00
P  0.0000  0.7112  0.6456  -0.01
W  0.0000  0.5000  0.5000  1.21
H  0.7892  0.7695  0.5961  0.00
C  0.0000  0.1526  0.3207  0.01
H  0.6550  0.1803  0.3797  0.00
H  0.2108  0.6147  0.0197  0.00
C  0.2032  0.4906  0.0547  0.00

Properties
- V: 557.2 Å³ per cell
- VASP energy: -286.890 eV per cell

| no. | ρ (Mg/m³) |
| --- | --- |
| 1 | 6.0 |
| 2 | 2.2 |
| 3 | 2.3 |
| 4 | 2.3 |
| 5 | 1.4 |
| 6 | 1.7 |